[1]
Eu2SnAs: optimized geometry, PBE.

a = 4.1989 Å, b = 4.1989 Å, c = 10.2476 Å
α = 78.18°, β = 78.18°, γ = 60.00°
Each line ends with the local moment (μB).
Fractional coordinates of all 4 atoms:
As  0.5000  0.5000  0.5000  -0.09
Eu  0.1104  0.1104  0.6690  6.80
Eu  0.8896  0.8896  0.3310  6.80
Sn  0.0000  0.0000  0.0000  0.05

For the energy relative to the lowest polymorph listed for this composition, the calculation gives 1.27 eV/f.u. The density of states at the Fermi level is 4.71 states/eV per atom. The energy relative to the elements comes out at -506 meV per atom. For the total magnetization, the calculation gives 14.0 μB/f.u.

=====

[2]
Sm3Zn7Ga4: optimized geometry, PBE.

a = 4.3345 Å, b = 8.2609 Å, c = 8.2773 Å
α = 69.82°, β = 74.82°, γ = 74.79°
Fractional coordinates of all 14 atoms:
Ga  0.8575  0.9221  0.3628
Ga  0.6551  0.4750  0.2149
Ga  0.1425  0.0779  0.6372
Ga  0.3449  0.5250  0.7851
Zn  0.6562  0.2062  0.4814
Zn  0.1445  0.6329  0.0780
Zn  0.4986  0.1935  0.8094
Zn  0.3438  0.7938  0.5186
Zn  0.8555  0.3671  0.9220
Zn  0.5014  0.8065  0.1906
Zn  0.0000  0.0000  0.0000
Sm  0.3009  0.1992  0.1990
Sm  0.0000  0.5000  0.5000
Sm  0.6991  0.8008  0.8010

The density of states at the Fermi level is 0.28 states/eV per atom. The energy relative to the elements comes out at -440 meV per atom. For the total magnetization, the calculation gives 0.0 μB/f.u.

=====

[3]
CoReIr: optimized geometry, PBE.

a = 2.7050 Å, b = 2.7050 Å, c = 6.4566 Å
α = 90.00°, β = 90.00°, γ = 120.00°
Each line ends with the local moment (μB).
Fractional coordinates of all 3 atoms:
Co  0.0000  0.0000  0.9954  1.24
Ir  0.6667  0.3333  0.3289  0.04
Re  0.3333  0.6667  0.6757  -0.04

For the energy relative to the lowest polymorph listed for this composition, the calculation gives 0.37 eV/f.u. The density of states at the Fermi level is 0.93 states/eV per atom. The energy relative to the elements comes out at 36 meV per atom. For the total magnetization, the calculation gives 1.2 μB/f.u.

=====

[4]
RbZn3F9: optimized geometry, PBE.

a = 3.9214 Å, b = 7.4979 Å, c = 7.4979 Å
α = 120.00°, β = 90.00°, γ = 90.00°
Fractional coordinates of all 13 atoms:
Rb  0.0000  0.0000  0.0000
F  0.5000  0.5977  0.7988
F  0.0000  0.0000  0.5000
F  0.0000  0.5000  0.0000
F  0.5000  0.4023  0.2012
F  0.5000  0.2012  0.7988
F  0.5000  0.7988  0.5977
F  0.0000  0.5000  0.5000
F  0.5000  0.7988  0.2012
F  0.5000  0.2012  0.4023
Zn  0.5000  0.5000  0.5000
Zn  0.5000  0.5000  0.0000
Zn  0.5000  0.0000  0.5000

The density of states at the Fermi level is 0.56 states/eV per atom. For the total magnetization, the calculation gives 0.0 μB/f.u. Its uncorrected formation energy is -26.69 eV per formula unit.

=====

[5]
CaTbBeN2: optimized geometry, PBE.

a = 5.0108 Å, b = 5.1722 Å, c = 6.5583 Å
α = 90.01°, β = 90.00°, γ = 90.00°
Fractional coordinates of all 10 atoms:
Tb  0.9999  0.5000  0.2500
Tb  0.0001  0.5000  0.7500
Ca  0.4999  0.0000  0.2500
Ca  0.5001  0.0000  0.7500
N  0.8047  0.2323  0.5000
N  0.8047  0.7677  0.0000
N  0.1953  0.7677  0.5000
N  0.1953  0.2323  0.0000
Be  0.0000  0.0000  0.0000
Be  0.0000  0.0000  0.5000

The density of states at the Fermi level is 0.35 states/eV per atom. For the total magnetization, the calculation gives 0.0 μB/f.u. Its uncorrected formation energy is -4.41 eV per formula unit.

=====

[6]
Tl4SbSe: optimized geometry, PBE.

a = 6.4107 Å, b = 6.4107 Å, c = 6.4107 Å
α = 60.00°, β = 60.00°, γ = 60.00°
Fractional coordinates of all 6 atoms:
Tl  0.8760  0.3747  0.3747
Tl  0.3747  0.8760  0.3747
Tl  0.3747  0.3747  0.8760
Tl  0.3747  0.3747  0.3747
Sb  0.7500  0.7500  0.7500
Se  0.0000  0.0000  0.0000

For the energy relative to the lowest polymorph listed for this composition, the calculation gives 1.85 eV/f.u. The density of states at the Fermi level is 0.53 states/eV per atom. For the total magnetization, the calculation gives 0.0 μB/f.u. Its uncorrected formation energy is 1.17 eV per formula unit.